Record 1
Computed, not measured: a geometry-optimized KIn2Ir structure at the PBEsol level of DFT.

Unit cell a=4.9413 b=4.9413 c=4.9413 alpha=60.00 beta=60.00 gamma=60.00
Element x y z (fractional)
K 0.0000 0.0000 0.0000
In 0.5000 0.5000 0.5000
In 0.7500 0.7500 0.7500
Ir 0.2500 0.2500 0.2500

Calculated values
- V: 85.31 Å³/cell
- Final energy: -3.69 eV/atom
- Energy relative to the lowest polymorph listed for this composition: 467 meV/atom

Record 2
Computed, not measured: a geometry-optimized KIn3Ir structure at the PBEsol level of DFT.

Unit cell a=5.1676 b=5.1676 c=5.1676 alpha=90.00 beta=90.00 gamma=90.00
Element x y z (fractional)
K 0.0000 0.0000 0.0000
In 0.0000 0.5000 0.5000
In 0.5000 0.0000 0.5000
In 0.5000 0.5000 0.0000
Ir 0.5000 0.5000 0.5000

Calculated values
- V: 138.00 Å³/cell
- Final energy: -4.12 eV/atom

no.,ΔH_f (0 K) (kJ/mol of formula units)
1,207
2,-67